# 1
Compound: NbTc2Bi
Source: Alexandria
Functional: GGA-PBE
Structure: optimized geometry

a = 4.216 Å, b = 4.216 Å, c = 9.604 Å
α = 77.32°, β = 77.32°, γ = 90.00°
Element x y z (fractional)
Nb 0.500 0.500 0.000
Nb 0.250 0.750 0.500
Bi 0.000 0.000 0.000
Bi 0.750 0.250 0.500
Tc 0.554 0.125 0.250
Tc 0.196 0.625 0.250
Tc 0.375 0.446 0.750
Tc 0.875 0.804 0.750

The value obtained for the density of states at the Fermi level is 1.056 states/eV per atom. The energy relative to the elements is 0.80 eV per atom. As for the space-group type: I-42d, No. 122.


# 2
Compound: Ca2TlZn
Source: Alexandria
Functional: GGA-PBE
Structure: optimized geometry

a = 5.358 Å, b = 5.358 Å, c = 5.358 Å
α = 60.00°, β = 60.00°, γ = 60.00°
Element x y z (fractional)
Tl 0.250 0.250 0.250
Ca 0.000 0.000 0.000
Ca 0.500 0.500 0.500
Zn 0.750 0.750 0.750

The value obtained for the density of states at the Fermi level is 0.714 states/eV per atom. The energy relative to the elements is -0.34 eV per atom. As for the space-group type: Fm-3m, No. 225.


# 3
Compound: TiAg3S
Source: Alexandria
Functional: GGA-PBE
Structure: optimized geometry

a = 5.038 Å, b = 5.038 Å, c = 5.038 Å
α = 90.00°, β = 90.00°, γ = 90.00°
Element x y z (fractional)
S 0.500 0.500 0.500
Ag 0.000 0.500 0.000
Ag 0.000 0.000 0.500
Ag 0.500 0.000 0.000
Ti 0.000 0.000 0.000

The value obtained for the density of states at the Fermi level is 0.668 states/eV per atom. The value obtained for the energy relative to the elements, uncorrected is 1.29 eV/atom. As for the space-group type: Pm-3m, No. 221. As for the energy above the lowest structure with this stoichiometry: 13.33 kcal/mol of atoms.


# 4
Compound: PaS2Br2
Source: Alexandria
Functional: GGA-PBE
Structure: optimized geometry

a = 7.250 Å, b = 7.585 Å, c = 7.305 Å
α = 84.69°, β = 60.25°, γ = 79.26°
Element x y z (fractional)
Pa 0.143 0.500 0.714
Pa 0.857 0.500 0.286
S 0.082 0.221 0.000
S 0.918 0.779 0.000
S 0.717 0.618 0.000
S 0.283 0.382 0.000
Br 0.928 0.272 0.597
Br 0.476 0.728 0.597
Br 0.072 0.728 0.403
Br 0.524 0.272 0.403

The value obtained for the density of states at the Fermi level is 0.593 states/eV per atom. The value obtained for the energy relative to the elements, uncorrected is -1.25 eV/atom. As for the space-group type: C2/m, No. 12.


# 5
Compound: Y2MgCl
Source: Alexandria
Functional: GGA-PBE
Structure: optimized geometry

a = 9.608 Å, b = 9.608 Å, c = 9.608 Å
α = 21.54°, β = 21.54°, γ = 21.54°
Element x y z (fractional)
Cl 0.250 0.250 0.250
Mg 0.750 0.750 0.750
Y 0.994 0.994 0.994
Y 0.506 0.506 0.506

The value obtained for the density of states at the Fermi level is 0.852 states/eV per atom. The value obtained for the energy relative to the elements, uncorrected is -0.65 eV/atom. As for the space-group type: R-3m, No. 166. As for the energy above the lowest structure with this stoichiometry: 0.00 kcal/mol of atoms.


# 6
Compound: Th2ZrSn2
Source: Alexandria
Functional: GGA-PBE
Structure: optimized geometry

a = 4.442 Å, b = 6.249 Å, c = 6.249 Å
α = 64.93°, β = 69.18°, γ = 69.18°
Element x y z (fractional)
Th 0.213 0.287 0.287
Th 0.787 0.713 0.713
Zr 0.000 0.000 0.000
Sn 0.500 0.283 0.717
Sn 0.500 0.717 0.283

The value obtained for the density of states at the Fermi level is 0.952 states/eV per atom. The energy relative to the elements is -0.46 eV per atom. As for the space-group type: Immm, No. 71.


# 7
Compound: DyTl2Ag2Cl6
Source: Alexandria
Functional: GGA-PBE
Structure: optimized geometry

a = 8.537 Å, b = 7.401 Å, c = 7.831 Å
α = 117.79°, β = 90.00°, γ = 125.22°
Element x y z (fractional)
Dy 0.500 0.000 0.500
Tl 0.707 0.414 0.184
Tl 0.293 0.586 0.816
Ag 0.960 0.920 0.633
Ag 0.040 0.080 0.367
Cl 0.761 0.522 0.687
Cl 0.257 0.934 0.220
Cl 0.323 0.066 0.780
Cl 0.743 0.066 0.780
Cl 0.677 0.934 0.220
Cl 0.239 0.478 0.313

The value obtained for the density of states at the Fermi level is 0.230 states/eV per atom. The value obtained for the energy relative to the elements, uncorrected is -1.15 eV/atom. As for the space-group type: C2/m, No. 12.


# 8
Compound: Sr2DyYSe4
Source: Alexandria
Functional: GGA-PBE
Structure: optimized geometry

a = 4.208 Å, b = 7.277 Å, c = 7.463 Å
α = 109.03°, β = 90.00°, γ = 90.00°
Element x y z (fractional)
Sr 0.500 0.000 0.500
Sr 0.000 0.500 0.500
Dy 0.500 0.500 0.000
Y 0.000 0.000 0.000
Se 0.500 0.244 0.231
Se 0.500 0.756 0.769
Se 0.000 0.257 0.769
Se 0.000 0.743 0.231

The value obtained for the density of states at the Fermi level is 0.455 states/eV per atom. The value obtained for the energy relative to the elements, uncorrected is -1.89 eV/atom. As for the space-group type: P2/m, No. 10.